[1]
Below is a relaxed structure of SrTlNi2, with properties calculated at the PBE level.

a = 3.3549 Å, b = 3.3549 Å, c = 7.2795 Å
α = 90.00°, β = 90.00°, γ = 90.00°
With the nearest neighbours (Å) after each atom.
Space group P4mm (No. 99)
Asymmetric unit:
Sr: 0.0000 0.0000 0.0000 x1  5 Ni 2.89-3.14
Tl: 0.5000 0.5000 0.3593 x1  1 Ni 2.60
Ni: 0.0000 0.0000 0.6035 x1  4 Ni 2.51
Ni: 0.5000 0.5000 0.7170 x1  4 Ni 2.51, 1 Tl 2.60

Summary:
- ΔH_f (0 K) (eV/atom) = 0.156
- calculated volume (A^3/atom) = 20.48
- total magnetic moment (μB/cell) = 0.41
- energy above the most stable polymorph in this dataset (meV per atom) = 215



[2]
Below is a relaxed structure of SrTlNi3, with properties calculated at the PBE level.

a = 4.8669 Å, b = 4.8669 Å, c = 4.8669 Å
α = 90.00°, β = 90.00°, γ = 90.00°
With the nearest neighbours (Å) after each atom.
Space group Pm-3m (No. 221)
Asymmetric unit:
Sr: 0.0000 0.0000 0.0000 x1  12 Ni 3.44
Tl: 0.5000 0.5000 0.5000 x1  6 Ni 2.43
Ni: 0.0000 0.5000 0.5000 x3  2 Tl 2.43

Summary:
- ΔH_f (0 K) (eV/atom) = 0.635
- calculated volume (A^3/atom) = 23.06
- total magnetic moment (μB/cell) = 0.00
- energy above the most stable polymorph in this dataset (meV per atom) = 0



[3]
Below is a relaxed structure of SrTl2Ni, with properties calculated at the PBE level.

a = 5.2706 Å, b = 5.2706 Å, c = 7.3933 Å
α = 90.00°, β = 90.00°, γ = 90.00°
With the nearest neighbours (Å) after each atom.
Space group I-4m2 (No. 119)
Asymmetric unit:
Sr: 0.0000 0.0000 0.0000 x2  4 Tl 3.22, 4 Ni 3.22
Tl: 0.0000 0.0000 0.5000 x2  4 Tl 3.22, 4 Ni 3.22
Tl: 0.0000 0.5000 0.2500 x2  4 Tl 3.22, 4 Sr 3.22
Ni: 0.0000 0.5000 0.7500 x2  4 Tl 3.22, 4 Sr 3.22

Summary:
- ΔH_f (0 K) (eV/atom) = 0.106
- calculated volume (A^3/atom) = 25.67
- total magnetic moment (μB/cell) = 0.00



[4]
Below is a relaxed structure of SrTlNi2, with properties calculated at the PBE level.

a = 4.7955 Å, b = 4.7955 Å, c = 17.7380 Å
α = 90.00°, β = 90.00°, γ = 90.00°
With the nearest neighbours (Å) after each atom.
Space group I-42d (No. 122)
Asymmetric unit:
Sr: 0.0000 0.0000 0.0000 x4  8 Ni 3.37-3.59, 4 Tl 3.39
Tl: 0.0000 0.0000 0.5000 x4  4 Ni 2.53
Ni: 0.0326 0.2500 0.6250 x8  2 Ni 2.42, 2 Tl 2.53

Summary:
- ΔH_f (0 K) (eV/atom) = 0.182
- calculated volume (A^3/atom) = 25.49
- total magnetic moment (μB/cell) = 0.00
- energy above the most stable polymorph in this dataset (meV per atom) = 241



[5]
Below is a relaxed structure of Sr2TlNi, with properties calculated at the PBE level.

a = 12.4076 Å, b = 3.9248 Å, c = 5.4315 Å
α = 90.00°, β = 115.92°, γ = 90.00°
With the nearest neighbours (Å) after each atom.
Space group Cm (No. 8)
Asymmetric unit:
Sr: 0.0000 0.0000 0.0000 x2  4 Ni 3.38-3.39, 2 Sr 3.52, 2 Tl 3.53-3.54
Sr: 0.2003 0.0000 0.7000 x2  2 Ni 3.35, 2 Sr 3.52, 4 Tl 3.52
Tl: 0.2970 0.5000 0.2967 x2  2 Ni 2.66
Ni: 0.4574 0.0000 0.4594 x2  2 Tl 2.66

Summary:
- ΔH_f (0 K) (eV/atom) = -0.036
- calculated volume (A^3/atom) = 29.74
- total magnetic moment (μB/cell) = 0.00



[6]
Below is a relaxed structure of SrTl2Ni, with properties calculated at the PBE level.

a = 3.5375 Å, b = 3.5375 Å, c = 7.7785 Å
α = 90.00°, β = 90.00°, γ = 90.00°
With the nearest neighbours (Å) after each atom.
Space group P4/mmm (No. 123)
Asymmetric unit:
Sr: 0.0000 0.0000 0.0000 x1  8 Tl 3.46, 4 Sr 3.54
Tl: 0.5000 0.5000 0.3065 x2  4 Ni 2.92, 1 Tl 3.01
Ni: 0.0000 0.0000 0.5000 x1  8 Tl 2.92

Summary:
- ΔH_f (0 K) (eV/atom) = -0.006
- calculated volume (A^3/atom) = 24.34
- total magnetic moment (μB/cell) = 0.00



Q: Which of these has the highest total magnetic moment?
A: number 1



Q: What is the formula in the sixth record?
A: SrTl2Ni



Q: Which value of total magnetic moment does entry 2 give?
A: 0.00 μB/cell